[1]
Below is a relaxed structure of GdErAsBr2, with properties calculated at the GGA-PBE level.

Properties
VASP energy (eV/atom): -5.134
Magnetic moment (μB per atom): 0.00
V (Å³/cell): 143

Unit cell a=4.0567 b=4.0567 c=10.0064 alpha=90.00 beta=90.00 gamma=120.00
Last column: nearest neighbours and their distance in Å.
Space group P3m1 (No. 156)
Asymmetric unit:
Gd  0.0000  0.0000  0.0000  3 As 2.85, 3 Br 2.97
Er  0.3333  0.6667  0.3156  3 As 2.80, 3 Br 2.93
As  0.6667  0.3333  0.1626  3 Er 2.80, 3 Gd 2.85
Br  0.0000  0.0000  0.4920  3 Er 2.93
Br  0.3333  0.6667  0.8182  3 Gd 2.97


[2]
Below is a relaxed structure of Er2AsIBr, with properties calculated at the GGA-PBE level.

Properties
VASP energy (eV/atom): -4.953
Magnetic moment (μB per atom): 0.00
V (Å³/cell): 154

Unit cell a=4.0797 b=4.0797 c=10.6676 alpha=90.00 beta=90.00 gamma=120.00
Last column: nearest neighbours and their distance in Å.
Space group P3m1 (No. 156)
Asymmetric unit:
Er  0.0000  0.0000  0.0000  3 As 2.81, 3 I 3.10
Er  0.3333  0.6667  0.7130  3 As 2.81, 3 Br 2.94
As  0.6667  0.3333  0.8559  6 Er 2.81
I  0.3333  0.6667  0.1892  3 Er 3.10
Br  0.0000  0.0000  0.5481  3 Er 2.94


[3]
Below is a relaxed structure of Fe2As3Br, with properties calculated at the GGA-PBE level.

Properties
VASP energy (eV/atom): -5.311
Magnetic moment (μB per atom): 0.81
V (Å³/cell): 459

Unit cell a=7.9905 b=9.3029 c=6.5783 alpha=90.00 beta=110.07 gamma=90.00
Last column: nearest neighbours and their distance in Å.
Space group C2/c (No. 15)
Asymmetric unit:
Fe  0.2195  0.1507  0.1246  3 As 2.42-2.44, 2 Br 2.50-2.64, 1 Fe 2.62
As  0.0000  0.2633  0.2500  2 Fe 2.42, 2 As 2.51
As  0.1527  0.4544  0.5195  2 Fe 2.42-2.44, 2 As 2.51
Br  0.0000  0.1777  0.7500  4 Fe 2.50-2.64


[4]
Below is a relaxed structure of Rb2FeAsBr6, with properties calculated at the GGA-PBE level.

Properties
VASP energy (eV/atom): -3.330
Magnetic moment (μB per atom): 0.31
V (Å³/cell): 1257

Unit cell a=10.7931 b=10.7931 c=10.7931 alpha=90.00 beta=90.00 gamma=90.00
Last column: nearest neighbours and their distance in Å.
Space group Fm-3m (No. 225)
Asymmetric unit:
Rb  0.2500  0.2500  0.2500  12 Br 3.82
Fe  0.0000  0.0000  0.0000  6 Br 2.63
As  0.0000  0.0000  0.5000  6 Br 2.77
Br  0.0000  0.0000  0.2437  1 Fe 2.63, 1 As 2.77